[1]
A plane-wave DFT calculation with GGA-PBE was carried out for crystalline Ba2Hg2Ge3 at its relaxed geometry.

a = 6.355 Å, b = 6.355 Å, c = 7.358 Å
α = 109.61°, β = 109.61°, γ = 45.25°
Fractional positions:
Ba: 0.142 0.142 0.285
Ba: 0.858 0.858 0.715
Hg: 0.167 0.167 0.783
Hg: 0.833 0.833 0.217
Ge: 0.416 0.416 0.077
Ge: 0.500 0.500 0.500
Ge: 0.584 0.584 0.923

Energy relative to the elements, eV/atom: -0.345


[2]
A plane-wave DFT calculation with GGA-PBE was carried out for crystalline Ba6HgGe2I3 at its relaxed geometry.

a = 11.599 Å, b = 11.599 Å, c = 10.200 Å
α = 111.91°, β = 111.91°, γ = 24.81°
Fractional positions:
Ba: 0.006 0.006 0.245
Ba: 0.322 0.322 0.455
Ba: 0.334 0.334 0.898
Ba: 0.666 0.666 0.102
Ba: 0.678 0.678 0.545
Ba: 0.994 0.994 0.755
Hg: 0.500 0.500 0.000
Ge: 0.156 0.156 0.305
Ge: 0.844 0.844 0.695
I: 0.165 0.165 0.818
I: 0.500 0.500 0.500
I: 0.835 0.835 0.182

Uncorrected formation energy, eV/atom: -0.970


[3]
A plane-wave DFT calculation with GGA-PBE was carried out for crystalline Ba2In4HgGe3 at its relaxed geometry.

a = 5.109 Å, b = 5.109 Å, c = 10.953 Å
α = 90.00°, β = 90.00°, γ = 90.00°
Fractional positions:
Ba: 0.000 0.500 0.241
Ba: 0.500 0.000 0.759
In: 0.000 0.000 0.500
In: 0.000 0.500 0.873
In: 0.500 0.000 0.127
In: 0.500 0.500 0.500
Hg: 0.500 0.500 0.000
Ge: 0.000 0.000 0.000
Ge: 0.000 0.500 0.622
Ge: 0.500 0.000 0.378

Energy relative to the elements, eV/atom: -0.306


[4]
A plane-wave DFT calculation with GGA-PBE was carried out for crystalline Ba2HgGeIr at its relaxed geometry.

a = 6.165 Å, b = 6.165 Å, c = 4.744 Å
α = 90.00°, β = 90.00°, γ = 90.00°
Fractional positions:
Ba: 0.000 0.500 0.000
Ba: 0.500 0.000 0.000
Hg: 0.000 0.000 0.500
Ge: 0.500 0.500 0.500
Ir: 0.500 0.500 0.000

Energy relative to the elements, eV/atom: -0.394


| no. | total energy (eV/atom) |
| --- | --- |
| 1 | -2.960 |
| 2 | -3.114 |
| 3 | -3.202 |
| 4 | -3.919 |